# FeWAu | the Alexandria database | PBE | optimized geometry
data_FeWAu
_chemical_formula_sum 'Fe4 W4 Au4'
_cell_length_a 3.2773
_cell_length_b 4.3335
_cell_length_c 13.0499
_cell_angle_alpha 90.00
_cell_angle_beta 90.00
_cell_angle_gamma 90.00
_space_group_name_H-M_alt 'F m m 2'
_space_group_IT_number 42
_space_group_name_Hall 'F 2 -2'
loop_
_atom_site_label
_atom_site_type_symbol
_atom_site_fract_x
_atom_site_fract_y
_atom_site_fract_z
Fe1 Fe 0.0000 0.0000 0.0000
W1 W 0.0000 0.0000 0.6511
Au1 Au 0.0000 0.0000 0.3327
# E: -23.8 eV/f.u.
# E_form: 309 meV per atom
# Distance to the lowest polymorph of the same formula: 0 meV per atom

# Pm3SmHo5 | the Alexandria database | PBE | optimized geometry
data_Pm3SmHo5
_chemical_formula_sum 'Pm12 Sm4 Ho20'
_cell_length_a 8.6944
_cell_length_b 8.6944
_cell_length_c 15.5207
_cell_angle_alpha 90.00
_cell_angle_beta 90.00
_cell_angle_gamma 90.00
_space_group_name_H-M_alt 'I 4/m c m'
_space_group_IT_number 140
_space_group_name_Hall '-I 4 2c'
loop_
_atom_site_label
_atom_site_type_symbol
_atom_site_fract_x
_atom_site_fract_y
_atom_site_fract_z
Pm1 Pm 0.0000 0.0000 0.2500
Pm2 Pm 0.1171 0.3829 0.0000
Sm1 Sm 0.0000 0.5000 0.2500
Ho1 Ho 0.0000 0.0000 0.0000
Ho2 Ho 0.2089 0.2911 0.3628
# E: -39.5 eV/f.u.
# E_form: 259 meV per atom
# Distance to the lowest polymorph of the same formula: 0 meV per atom

# Pm5Ga2Si5 | the Alexandria database | PBE | optimized geometry
data_Pm5Ga2Si5
_chemical_formula_sum 'Pm10 Ga4 Si10'
_cell_length_a 14.8590
_cell_length_b 4.1363
_cell_length_c 11.4585
_cell_angle_alpha 90.00
_cell_angle_beta 129.11
_cell_angle_gamma 90.00
_space_group_name_H-M_alt 'C 1 2/m 1'
_space_group_IT_number 12
_space_group_name_Hall '-C 2y'
loop_
_atom_site_label
_atom_site_type_symbol
_atom_site_fract_x
_atom_site_fract_y
_atom_site_fract_z
Pm1 Pm 0.0000 0.0000 0.0000
Pm2 Pm 0.1308 0.5000 0.8292
Pm3 Pm 0.1830 0.5000 0.5769
Ga1 Ga 0.1160 0.5000 0.2606
Si1 Si 0.0000 0.0000 0.5000
Si2 Si 0.0624 0.0000 0.3247
Si3 Si 0.2063 0.5000 0.1427
# Formation energy without anion corrections: -0.637 eV per atom
# E: -64.6 eV/f.u.

# SmLuPu | the Alexandria database | PBE | optimized geometry
data_SmLuPu
_chemical_formula_sum 'Sm1 Lu1 Pu1'
_cell_length_a 5.5898
_cell_length_b 5.5898
_cell_length_c 3.3025
_cell_angle_alpha 90.00
_cell_angle_beta 90.00
_cell_angle_gamma 120.00
_space_group_name_H-M_alt 'P 3 m 1'
_space_group_IT_number 156
_space_group_name_Hall 'P 3 -2"'
loop_
_atom_site_label
_atom_site_type_symbol
_atom_site_fract_x
_atom_site_fract_y
_atom_site_fract_z
Sm1 Sm 0.0000 0.0000 0.0000
Lu1 Lu 0.3333 0.6667 0.4990
Pu1 Pu 0.6667 0.3333 0.5006
# E: -23.0 eV/f.u.
# E_form: 186 meV per atom
# Distance to the lowest polymorph of the same formula: 72 meV per atom